No. 1
VASP calculation (PBE-GGA) on a geometry-optimized PmInAsPd structure.

final energy = -19.63 eV/f.u.
DFT formation energy = -0.574 eV per atom

abc: 7.0600 7.0600 7.0600
angles: 90.00 90.00 90.00
Space group F-43m (No. 216)
Asymmetric unit:
Pm: 0.0000 0.0000 0.0000
In: 0.0000 0.0000 0.5000
As: 0.2500 0.2500 0.7500
Pd: 0.2500 0.2500 0.2500


No. 2
VASP calculation (PBE-GGA) on a geometry-optimized PrIn2As2Pd7 structure.

final energy = -61.12 eV/f.u.
DFT formation energy = -0.434 eV per atom

abc: 5.7108 5.7330 14.8878
angles: 90.00 96.55 90.00
Space group C2/m (No. 12)
Asymmetric unit:
Pr: 0.0000 0.0000 0.0000
In: 0.1173 0.0000 0.4080
As: 0.0785 0.5000 0.2508
Pd: 0.0000 0.5000 0.0000
Pd: 0.1125 0.5000 0.4170
Pd: 0.2019 0.2508 0.8469


No. 3
VASP calculation (PBE-GGA) on a geometry-optimized Pr2InAs3Pd4 structure.

final energy = -55.47 eV/f.u.
DFT formation energy = -0.845 eV per atom

abc: 4.2671 4.2671 11.1519
angles: 90.00 90.00 90.00
Space group P-4m2 (No. 115)
Asymmetric unit:
Pr: 0.0000 0.5000 0.2283
In: 0.0000 0.0000 0.5000
As: 0.0000 0.5000 0.8681
As: 0.5000 0.5000 0.5000
Pd: 0.0000 0.0000 0.0000
Pd: 0.0000 0.5000 0.6482
Pd: 0.5000 0.5000 0.0000


No. 4
VASP calculation (PBE-GGA) on a geometry-optimized InAs2PdS structure.

final energy = -15.76 eV/f.u.
ΔE_f (raw) = 1120 meV/atom

abc: 5.1904 5.1904 5.0301
angles: 90.00 90.00 90.00
Space group P4/mmm (No. 123)
Asymmetric unit:
In: 0.0000 0.0000 0.0000
As: 0.0000 0.5000 0.0000
Pd: 0.0000 0.0000 0.5000
S: 0.5000 0.5000 0.5000